[1]
Below is KSc2In after structural relaxation, with properties calculated at the PBE-GGA level.

Values from the calculation:
The energy of formation from the pure elements comes out at 0.488 eV per atom. The magnetic moment comes out at 0.0 μB per cell. The value obtained for the electronic total energy is -14.55 eV/cell. The value obtained for the calculated volume is 31.2 Å³/atom.

abc: 12.9791 12.9791 12.9791
angles: 14.83 14.83 14.83
Positions (direct):
K 0.5000 0.5000 0.5000
Sc 0.9218 0.9218 0.9218
Sc 0.0782 0.0782 0.0782
In 0.0000 0.0000 0.0000



[2]
Below is K2ScIn after structural relaxation, with properties calculated at the PBE-GGA level.

Values from the calculation:
The energy of formation from the pure elements comes out at 0.318 eV per atom. The magnetic moment comes out at 1.4 μB per cell. The value obtained for the electronic total energy is -9.99 eV/cell. The value obtained for the calculated volume is 34.2 Å³/atom.

abc: 6.2842 4.6655 4.6655
angles: 90.00 90.00 90.00
Positions (direct):
Sc 0.5000 0.5000 0.0000
In 0.5000 0.0000 0.5000
K 0.0000 0.0000 0.0000
K 0.0000 0.5000 0.5000



[3]
Below is KScIn3 after structural relaxation, with properties calculated at the PBE-GGA level.

Values from the calculation:
The energy of formation from the pure elements comes out at 0.985 eV per atom. The magnetic moment comes out at 0.0 μB per cell. The value obtained for the electronic total energy is -10.72 eV/cell. The value obtained for the calculated volume is 36.8 Å³/atom. The calculation puts the energy relative to the lowest polymorph listed for this composition at 0.829 eV per atom.

abc: 5.6870 5.6870 5.6870
angles: 90.00 90.00 90.00
Positions (direct):
In 0.5000 0.0000 0.0000
In 0.0000 0.0000 0.5000
In 0.0000 0.5000 0.0000
Sc 0.5000 0.5000 0.5000
K 0.0000 0.0000 0.0000



[4]
Below is KSc2In after structural relaxation, with properties calculated at the PBE-GGA level.

Values from the calculation:
The energy of formation from the pure elements comes out at 0.242 eV per atom. The magnetic moment comes out at 0.9 μB per cell. The value obtained for the electronic total energy is -15.53 eV/cell. The value obtained for the calculated volume is 31.7 Å³/atom.

abc: 5.5989 5.5989 7.3011
angles: 83.67 83.67 33.90
Positions (direct):
In 0.4880 0.4880 0.5715
Sc 0.7520 0.7520 0.7515
Sc 0.0169 0.0169 0.9148
K 0.2430 0.2430 0.2622